No. 1
Below is crystalline Ce2ScSe5 at its relaxed geometry, with properties calculated at the PBE level.

* M_tot: 4.132 μB/cell
* energy above the most stable polymorph in this dataset: 67 meV/atom
* electronic total energy: -0.2240 Ha/atom
* raw formation energy: -1.644 eV/atom

Structure (CIF):
```
data_Ce2ScSe5
_cell_length_a 5.621
_cell_length_b 13.863
_cell_length_c 13.377
_cell_angle_alpha 90.00
_cell_angle_beta 90.00
_cell_angle_gamma 90.00
_space_group_name_H-M_alt 'C m c m'
_space_group_IT_number 63
_space_group_name_Hall '-C 2c 2'
loop_
_atom_site_label
_atom_site_type_symbol
_atom_site_fract_x
_atom_site_fract_y
_atom_site_fract_z
_atom_site_occupancy
Ce1 Ce 0.000 0.145 0.064 1
Sc1 Sc 0.000 0.198 0.750 1
Se1 Se 0.000 0.050 0.624 1
Se2 Se 0.000 0.263 0.250 1
Se3 Se 0.000 0.311 0.580 1
```



No. 2
Below is crystalline Ce3ScSe4 at its relaxed geometry, with properties calculated at the PBE level.

* M_tot: 7.819 μB/cell
* electronic total energy: -0.2393 Ha/atom
* raw formation energy: -1.753 eV/atom

Structure (CIF):
```
data_Ce3ScSe4
_cell_length_a 4.0985
_cell_length_b 4.0985
_cell_length_c 40.7183
_cell_angle_alpha 90.00
_cell_angle_beta 90.00
_cell_angle_gamma 120.00
_space_group_name_H-M_alt 'R -3 m'
_space_group_IT_number 166
_space_group_name_Hall '-R 3 2"'
loop_
_atom_site_label
_atom_site_type_symbol
_atom_site_fract_x
_atom_site_fract_y
_atom_site_fract_z
_atom_site_occupancy
Ce1 Ce 0.0000 0.0000 0.0000 1
Ce2 Ce 0.0000 0.0000 0.2469 1
Sc1 Sc 0.0000 0.0000 0.5000 1
Se1 Se 0.0000 0.0000 0.1308 1
Se2 Se 0.0000 0.0000 0.3767 1
```



No. 3
Below is crystalline CeScSe2 at its relaxed geometry, with properties calculated at the PBE level.

* M_tot: 3.083 μB/cell
* energy above the most stable polymorph in this dataset: 0 meV/atom
* electronic total energy: -0.2393 Ha/atom
* raw formation energy: -1.702 eV/atom

Structure (CIF):
```
data_CeScSe2
_cell_length_a 3.9945
_cell_length_b 3.9945
_cell_length_c 20.2101
_cell_angle_alpha 90.00
_cell_angle_beta 90.00
_cell_angle_gamma 120.00
_space_group_name_H-M_alt 'R -3 m'
_space_group_IT_number 166
_space_group_name_Hall '-R 3 2"'
loop_
_atom_site_label
_atom_site_type_symbol
_atom_site_fract_x
_atom_site_fract_y
_atom_site_fract_z
_atom_site_occupancy
Ce1 Ce 0.0000 0.0000 0.0000 1
Sc1 Sc 0.0000 0.0000 0.5000 1
Se1 Se 0.0000 0.0000 0.2410 1
```